Entry 1:
## LuThFeNi (PBE-GGA)

Data for an optimized crystal structure of LuThFeNi.

a = 4.791 Å, b = 4.791 Å, c = 4.791 Å
α = 60.00°, β = 60.00°, γ = 60.00°
Fractional coordinates of all 4 atoms:
Lu: 0.000 0.000 0.000
Th: 0.500 0.500 0.500
Fe: 0.750 0.750 0.750
Ni: 0.250 0.250 0.250

Space-group type: No. 216

Entry 2:
## LuNpFe4 (PBE-GGA)

Data for an optimized crystal structure of LuNpFe4.

a = 5.048 Å, b = 5.048 Å, c = 5.048 Å
α = 60.00°, β = 60.00°, γ = 60.00°
Fractional coordinates of all 6 atoms:
Lu: 0.000 0.000 0.000
Np: 0.250 0.250 0.250
Fe: 0.124 0.625 0.625
Fe: 0.625 0.124 0.625
Fe: 0.625 0.625 0.124
Fe: 0.625 0.625 0.625

Space-group type: No. 216

Entry 3:
## LuNpFeRu (PBE-GGA)

Data for an optimized crystal structure of LuNpFeRu.

a = 4.706 Å, b = 4.706 Å, c = 4.706 Å
α = 60.00°, β = 60.00°, γ = 60.00°
Fractional coordinates of all 4 atoms:
Lu: 0.000 0.000 0.000
Np: 0.500 0.500 0.500
Fe: 0.250 0.250 0.250
Ru: 0.750 0.750 0.750

Space-group type: No. 216

Number 1: energy relative to the elements -0.1544 eV/atom, DOS(E_F) 3.85 states/eV/cell. Number 2: energy relative to the elements -0.0373 eV/atom, DOS(E_F) 11.66 states/eV/cell. Number 3: energy relative to the elements -0.0649 eV/atom, DOS(E_F) 6.50 states/eV/cell.